Here is Li2Cr2O7 after structural relaxation from Alexandria. Energies are from PBE with a Hubbard U.

Structure (POSCAR):
```
Li2Cr2O7
1.0
4.1903 3.8476 0.0317
-4.1903 3.8476 0.0317
0.0000 3.7920 9.4579
O Li Cr
14 4 4
Direct
0.6388 0.6214 0.3609
0.6214 0.6388 0.8609
0.6081 0.9046 0.1103
0.1029 0.8971 0.7500
0.3919 0.0954 0.8897
0.9757 0.2684 0.8720
0.8971 0.1029 0.2500
0.3786 0.3612 0.1391
0.9046 0.6081 0.6103
0.3612 0.3786 0.6391
0.0954 0.3919 0.3897
0.0243 0.7316 0.1280
0.7316 0.0243 0.6280
0.2684 0.9757 0.3720
0.7309 0.3860 0.5248
0.6140 0.2691 0.9752
0.2691 0.6140 0.4752
0.3860 0.7309 0.0248
0.8327 0.7899 0.7114
0.1673 0.2101 0.2886
0.2101 0.1673 0.7886
0.7899 0.8327 0.2114
```

uncorrected energy: -139.573 eV per cell